[1]
## KSrHgSb (PBE)

Data for KSrHgSb after structural relaxation.

Values from the calculation:
uncorrected formation energy: -0.635 eV/atom
space group: No. 216

abc: 5.7603 5.7603 5.7603
angles: 60.00 60.00 60.00
With the nearest neighbours (Å) after each atom.
Fractional positions:
Sb  0.0000  0.0000  0.0000  4 K 3.53, 4 Sr 3.53
K  0.2500  0.2500  0.2500  4 Hg 3.53, 4 Sb 3.53
Hg  0.5000  0.5000  0.5000  4 Sr 3.53, 4 K 3.53
Sr  0.7500  0.7500  0.7500  4 Hg 3.53, 4 Sb 3.53

[2]
## ZrTa2Ru2 (PBE)

Data for ZrTa2Ru2 after structural relaxation.

Values from the calculation:
space group: No. 139
energy relative to the lowest polymorph listed for this composition: 240 meV per atom

abc: 4.2986 4.2986 6.0691
angles: 69.26 69.26 90.00
With the nearest neighbours (Å) after each atom.
Fractional positions:
Ru  0.3830  0.3830  0.2339  1 Ru 2.46, 4 Ta 2.56
Ru  0.6170  0.6170  0.7661  1 Ru 2.46, 4 Ta 2.56
Zr  0.0000  0.0000  0.0000  8 Ru 3.28, 8 Ta 3.39
Ta  0.7500  0.2500  0.5000  4 Ru 2.56
Ta  0.2500  0.7500  0.5000  4 Ru 2.56

[3]
## NiPtBr2 (PBE)

Data for NiPtBr2 after structural relaxation.

Values from the calculation:
uncorrected formation energy: 0.127 eV/atom
space group: No. 6
energy relative to the lowest polymorph listed for this composition: 186 meV per atom

abc: 3.6907 4.1324 6.7074
angles: 85.63 90.00 90.00
With the nearest neighbours (Å) after each atom.
Fractional positions:
Br  0.0000  0.0049  0.8607  1 Ni 2.35, 2 Pt 2.51
Br  0.5000  0.4361  0.3489  2 Ni 2.39
Ni  0.0000  0.3717  0.5755  3 Br 2.35-2.39, 2 Pt 2.48
Pt  0.5000  0.6874  0.7149  2 Ni 2.48, 3 Br 2.51-2.74

[4]
## PmHo6Er8 (PBE)

Data for PmHo6Er8 after structural relaxation.

Values from the calculation:
space group: No. 148
E_tot: -4.45 eV/atom

abc: 8.9622 8.9622 8.5440
angles: 58.37 58.37 60.00
With the nearest neighbours (Å) after each atom.
Fractional positions:
Pm  0.0000  0.0000  0.0000  6 Ho 3.41, 6 Er 3.50
Ho  0.1106  0.5388  0.1229  4 Er 3.33-3.72, 1 Pm 3.41, 4 Ho 3.43-3.70
Ho  0.7722  0.8894  0.8771  4 Er 3.33-3.72, 1 Pm 3.41, 4 Ho 3.43-3.70
Ho  0.4612  0.7722  0.8771  4 Er 3.33-3.72, 1 Pm 3.41, 4 Ho 3.43-3.70
Ho  0.5388  0.2278  0.1229  4 Er 3.33-3.72, 1 Pm 3.41, 4 Ho 3.43-3.70
Ho  0.2278  0.1106  0.1229  4 Er 3.33-3.72, 1 Pm 3.41, 4 Ho 3.43-3.70
Ho  0.8894  0.4612  0.8771  4 Er 3.33-3.72, 1 Pm 3.41, 4 Ho 3.43-3.70
Er  0.8898  0.2792  0.5737  3 Ho 3.37-3.72, 5 Er 3.37-3.40, 1 Pm 3.50
Er  0.7427  0.1102  0.4263  3 Ho 3.37-3.72, 5 Er 3.37-3.40, 1 Pm 3.50
Er  0.7208  0.7427  0.4263  3 Ho 3.37-3.72, 5 Er 3.37-3.40, 1 Pm 3.50
Er  0.4237  0.4237  0.7290  4 Er 3.11-3.39, 3 Ho 3.33
Er  0.5763  0.5763  0.2710  4 Er 3.11-3.39, 3 Ho 3.33
Er  0.2792  0.2573  0.5737  3 Ho 3.37-3.72, 5 Er 3.37-3.40, 1 Pm 3.50
Er  0.2573  0.8898  0.5737  3 Ho 3.37-3.72, 5 Er 3.37-3.40, 1 Pm 3.50
Er  0.1102  0.7208  0.4263  3 Ho 3.37-3.72, 5 Er 3.37-3.40, 1 Pm 3.50

[5]
## K2NaZn (PBE)

Data for K2NaZn after structural relaxation.

Values from the calculation:
space group: No. 123
E_tot: -1.08 eV/atom

abc: 4.2632 4.2632 9.7542
angles: 90.00 90.00 90.00
With the nearest neighbours (Å) after each atom.
Fractional positions:
Na  0.5000  0.5000  0.5000  8 K 4.12, 4 Na 4.26
Zn  0.5000  0.5000  0.0000  8 K 3.66
K  0.0000  0.0000  0.7879  4 Zn 3.66
K  0.0000  0.0000  0.2121  4 Zn 3.66

[6]
## KZnHg2 (PBE)

Data for KZnHg2 after structural relaxation.

Values from the calculation:
space group: No. 35
E_tot: -0.80 eV/atom

abc: 3.8920 3.8920 7.7541
angles: 90.00 90.00 93.25
With the nearest neighbours (Å) after each atom.
Fractional positions:
Hg  0.0000  0.0000  0.9556  4 Zn 2.85-3.00
Hg  0.5000  0.5000  0.2106  1 Zn 2.97
K  0.0000  0.0000  0.5060  5 Hg 3.49-3.64, 4 Zn 3.66-3.77, 4 K 3.89
Zn  0.5000  0.5000  0.8278  5 Hg 2.85-3.00

| no. | total magnetic moment (μB/atom) |
| --- | --- |
| 1 | 0.0000 |
| 2 | 0.0000 |
| 3 | 0.0001 |
| 4 | 0.0000 |
| 5 | 0.0000 |
| 6 | 0.0000 |